1.
{
  "formula": "NdEr3Sc4",
  "functional": "PBE",
  "state": "relaxed",
  "lattice_angstrom": [[5.998, 0.000, 0.000], [0.000, 6.958, 0.000], [0.000, 0.000, 10.798]],
  "species": ["Er", "Er", "Er", "Er", "Er", "Er", "Sc", "Sc", "Sc", "Sc", "Sc", "Sc", "Sc", "Sc", "Nd", "Nd"],
  "fractional_positions": [[0.986, 0.635, 0.751], [0.486, 0.365, 0.749], [0.141, 0.366, 0.500], [0.641, 0.634, 0.000], [0.486, 0.365, 0.251], [0.986, 0.635, 0.249], [0.651, 0.116, 0.500], [0.479, 0.884, 0.752], [0.479, 0.884, 0.248], [0.651, 0.115, 0.000], [0.151, 0.884, 0.000], [0.979, 0.116, 0.748], [0.979, 0.116, 0.252], [0.151, 0.885, 0.500], [0.143, 0.366, 0.000], [0.643, 0.634, 0.500]],
  "n_ef_per_ev_cell": 29.3,
  "formation_enthalpy_0k_ev_per_atom": 0.030,
  "magmom_total_mub_per_fu": 0.0
}

2.
{
  "formula": "RbZn3Cl",
  "functional": "PBE",
  "state": "relaxed",
  "lattice_angstrom": [[5.989, 0.000, 0.000], [0.000, 5.989, 0.000], [0.000, 0.000, 5.989]],
  "species": ["Zn", "Zn", "Zn", "Rb", "Cl"],
  "fractional_positions": [[0.500, 0.000, 0.000], [0.000, 0.000, 0.500], [0.000, 0.500, 0.000], [0.500, 0.500, 0.500], [0.000, 0.000, 0.000]],
  "n_ef_per_ev_cell": 0.0,
  "magmom_total_mub_per_fu": 0.0,
  "e_above_lowest_polymorph_kj_per_mol_atoms": 0.0
}

3.
{
  "formula": "MnVNiIr",
  "functional": "PBE",
  "state": "relaxed",
  "lattice_angstrom": [[3.734, 0.000, 0.000], [0.000, 3.642, 0.000], [0.000, 0.000, 3.717]],
  "species": ["Ir", "Ni", "V", "Mn"],
  "fractional_positions": [[0.000, 0.000, 0.000], [0.500, 0.500, 0.000], [0.000, 0.500, 0.500], [0.500, 0.000, 0.500]],
  "n_ef_per_ev_cell": 3.5,
  "formation_enthalpy_0k_ev_per_atom": -0.320,
  "magmom_total_mub_per_fu": 1.6,
  "e_above_lowest_polymorph_kj_per_mol_atoms": 0.0
}

Raw total energy across the listed records, respectively: -5.442, -1.173, -8.553 eV/atom.